(1)
A relaxed LaPdW2 crystal. Source: Alexandria, functional PBE-GGA.

Lattice parameters (Å, degrees): 6.6317 6.6317 6.6317 90.00 90.00 90.00
With the nearest neighbours (Å) after each atom.
Space group Fm-3m (No. 225)
Inequivalent atoms, fractional coordinates:
La  0.0000  0.0000  0.0000  8 W 2.87
Pd  0.0000  0.0000  0.5000  8 W 2.87
W  0.2500  0.2500  0.2500  4 La 2.87, 4 Pd 2.87

## Properties
E_tot	-8.139	eV per atom
calculated density	13.96	g cm⁻³
volume	291.7	Å³ per cell
energy of formation from the pure elements	0.868	eV/atom


(2)
A relaxed LaPdW3 crystal. Source: Alexandria, functional PBE-GGA.

Lattice parameters (Å, degrees): 4.8700 4.8700 4.8700 90.00 90.00 90.00
With the nearest neighbours (Å) after each atom.
Space group Pm-3m (No. 221)
Inequivalent atoms, fractional coordinates:
La  0.0000  0.0000  0.0000  12 W 3.44
Pd  0.5000  0.5000  0.5000  6 W 2.43
W  0.0000  0.5000  0.5000  2 Pd 2.43

## Properties
E_tot	-8.001	eV per atom
calculated density	11.46	g cm⁻³
volume	115.5	Å³ per cell
energy of formation from the pure elements	1.795	eV/atom


(3)
A relaxed LaPd2W crystal. Source: Alexandria, functional PBE-GGA.

Lattice parameters (Å, degrees): 4.8650 4.8650 16.9462 90.00 90.00 90.00
With the nearest neighbours (Å) after each atom.
Space group I-42d (No. 122)
Inequivalent atoms, fractional coordinates:
La  0.0000  0.0000  0.0000  4 Pd 3.08, 4 W 3.44
Pd  0.1137  0.2500  0.6250  2 W 2.50, 2 Pd 2.67
W  0.0000  0.0000  0.5000  4 Pd 2.50

## Properties
E_tot	-6.605	eV per atom
calculated density	8.87	g cm⁻³
volume	401.1	Å³ per cell
energy of formation from the pure elements	0.462	eV/atom


(4)
A relaxed LaYPd4 crystal. Source: Alexandria, functional PBE-GGA.

Lattice parameters (Å, degrees): 7.8006 7.8006 7.8006 90.00 90.00 90.00
With the nearest neighbours (Å) after each atom.
Space group F-43m (No. 216)
Inequivalent atoms, fractional coordinates:
La  0.0000  0.0000  0.0000  12 Pd 3.23, 4 Y 3.38
Y  0.2500  0.2500  0.7500  12 Pd 3.23, 4 La 3.38
Pd  0.1246  0.1246  0.3754  6 Pd 2.75-2.77

## Properties
E_tot	-6.152	eV per atom
calculated density	9.14	g cm⁻³
volume	474.7	Å³ per cell
energy of formation from the pure elements	-0.792	eV/atom


(5)
A relaxed LaYPd3 crystal. Source: Alexandria, functional PBE-GGA.

Lattice parameters (Å, degrees): 5.1146 5.1146 5.1146 90.00 90.00 90.00
With the nearest neighbours (Å) after each atom.
Space group Pm-3m (No. 221)
Inequivalent atoms, fractional coordinates:
La  0.0000  0.0000  0.0000  12 Pd 3.62
Y  0.5000  0.5000  0.5000  6 Pd 2.56
Pd  0.0000  0.5000  0.5000  2 Y 2.56

## Properties
E_tot	-5.540	eV per atom
calculated density	6.79	g cm⁻³
volume	133.8	Å³ per cell
energy of formation from the pure elements	-0.146	eV/atom


(6)
A relaxed LaY2Pd2 crystal. Source: Alexandria, functional PBE-GGA.

Lattice parameters (Å, degrees): 4.7176 4.7176 12.0440 90.00 90.00 90.00
With the nearest neighbours (Å) after each atom.
Space group I4/mmm (No. 139)
Inequivalent atoms, fractional coordinates:
La  0.0000  0.0000  0.0000  8 Pd 3.59, 8 Y 3.82
Y  0.0000  0.5000  0.2500  4 Pd 2.89
Pd  0.0000  0.0000  0.3890  1 Pd 2.67, 4 Y 2.89

## Properties
E_tot	-6.209	eV per atom
calculated density	6.56	g cm⁻³
volume	268.0	Å³ per cell
energy of formation from the pure elements	-0.561	eV/atom


(7)
A relaxed LaYPd6 crystal. Source: Alexandria, functional PBE-GGA.

Lattice parameters (Å, degrees): 4.1924 4.1924 8.3328 90.00 90.00 90.00
With the nearest neighbours (Å) after each atom.
Space group P4/mmm (No. 123)
Inequivalent atoms, fractional coordinates:
La  0.0000  0.0000  0.0000  12 Pd 2.96-2.99
Y  0.0000  0.0000  0.5000  12 Pd 2.92-2.96
Pd  0.0000  0.5000  0.2564  8 Pd 2.92-2.99, 2 Y 2.92, 2 La 2.99
Pd  0.5000  0.5000  0.0000  4 La 2.96, 8 Pd 2.99
Pd  0.5000  0.5000  0.5000  8 Pd 2.92, 4 Y 2.96

## Properties
E_tot	-6.136	eV per atom
calculated density	9.82	g cm⁻³
volume	146.5	Å³ per cell
energy of formation from the pure elements	-0.818	eV/atom


(8)
A relaxed La3YPd12 crystal. Source: Alexandria, functional PBE-GGA.

Lattice parameters (Å, degrees): 4.2064 4.2064 16.8312 90.00 90.00 90.00
With the nearest neighbours (Å) after each atom.
Space group P4/mmm (No. 123)
Inequivalent atoms, fractional coordinates:
La  0.0000  0.0000  0.0000  12 Pd 2.97-2.99
La  0.0000  0.0000  0.2540  12 Pd 2.97-3.01
Y  0.0000  0.0000  0.5000  12 Pd 2.92-2.97
Pd  0.0000  0.5000  0.1263  8 Pd 2.97-2.99, 4 La 2.99-3.01
Pd  0.0000  0.5000  0.3794  8 Pd 2.92-3.00, 2 Y 2.92, 2 La 2.98
Pd  0.5000  0.5000  0.0000  4 La 2.97, 8 Pd 2.99
Pd  0.5000  0.5000  0.2523  4 La 2.97, 8 Pd 2.99-3.00
Pd  0.5000  0.5000  0.5000  8 Pd 2.92, 4 Y 2.97

## Properties
E_tot	-6.032	eV per atom
calculated density	9.94	g cm⁻³
volume	297.8	Å³ per cell
energy of formation from the pure elements	-0.810	eV/atom


(9)
A relaxed LaY3Pd crystal. Source: Alexandria, functional PBE-GGA.

Lattice parameters (Å, degrees): 5.5133 5.5133 5.5133 90.00 90.00 90.00
With the nearest neighbours (Å) after each atom.
Space group Pm-3m (No. 221)
Inequivalent atoms, fractional coordinates:
La  0.0000  0.0000  0.0000  12 Y 3.90
Y  0.0000  0.5000  0.5000  2 Pd 2.76
Pd  0.5000  0.5000  0.5000  6 Y 2.76

## Properties
E_tot	-6.107	eV per atom
calculated density	5.07	g cm⁻³
volume	167.6	Å³ per cell
energy of formation from the pure elements	-0.204	eV/atom


(10)
A relaxed LaY2Pd crystal. Source: Alexandria, functional PBE-GGA.

Lattice parameters (Å, degrees): 3.5741 3.5741 8.9170 90.00 90.00 90.00
With the nearest neighbours (Å) after each atom.
Space group P4/mmm (No. 123)
Inequivalent atoms, fractional coordinates:
La  0.0000  0.0000  0.0000  4 La 3.57, 8 Y 3.76
Y  0.5000  0.5000  0.3117  4 Pd 3.03, 1 Y 3.36
Pd  0.0000  0.0000  0.5000  8 Y 3.03

## Properties
E_tot	-6.174	eV per atom
calculated density	6.17	g cm⁻³
volume	113.9	Å³ per cell
energy of formation from the pure elements	-0.412	eV/atom


(11)
A relaxed LaY2Pd crystal. Source: Alexandria, functional PBE-GGA.

Lattice parameters (Å, degrees): 3.9373 3.9373 27.9199 90.00 90.00 120.00
With the nearest neighbours (Å) after each atom.
Space group R3m (No. 160, hexagonal axes)
Inequivalent atoms, fractional coordinates:
La  0.0000  0.0000  0.0000  6 Y 3.68-3.80, 6 La 3.94
Y  0.0000  0.0000  0.2295  3 Pd 2.82
Y  0.0000  0.0000  0.4424  3 Pd 2.84
Pd  0.0000  0.0000  0.8364  6 Y 2.82-2.84

## Properties
E_tot	-6.069	eV per atom
calculated density	5.62	g cm⁻³
volume	374.8	Å³ per cell
energy of formation from the pure elements	-0.307	eV/atom


(12)
A relaxed LaY5Pd2 crystal. Source: Alexandria, functional PBE-GGA.

Lattice parameters (Å, degrees): 3.8571 13.0952 18.3590 90.00 90.00 90.00
With the nearest neighbours (Å) after each atom.
Space group Cmcm (No. 63)
Inequivalent atoms, fractional coordinates:
La  0.0000  0.1575  0.2500  4 Pd 3.28, 1 Y 3.42
Y  0.0000  0.1035  0.7500  2 Pd 2.81
Y  0.0000  0.1591  0.0459  2 Pd 2.82
Y  0.0000  0.4457  0.0977  2 Pd 3.09, 2 Y 3.46
Pd  0.0000  0.2339  0.6281  5 Y 2.81-3.09

## Properties
E_tot	-6.322	eV per atom
calculated density	5.70	g cm⁻³
volume	927.3	Å³ per cell
energy of formation from the pure elements	-0.368	eV/atom


(13)
A relaxed La3Y2Pd2 crystal. Source: Alexandria, functional PBE-GGA.

Lattice parameters (Å, degrees): 12.3589 3.9610 9.0572 90.00 111.67 90.00
With the nearest neighbours (Å) after each atom.
Space group C2/m (No. 12)
Inequivalent atoms, fractional coordinates:
La  0.0000  0.0000  0.0000  4 Pd 2.94
La  0.1180  0.0000  0.4397  3 Pd 3.15-3.37, 1 La 3.47
Y  0.1633  0.5000  0.8088  2 Pd 2.92
Pd  0.1657  0.5000  0.2001  2 Y 2.92, 4 La 2.94-3.15

## Properties
E_tot	-5.907	eV per atom
calculated density	6.51	g cm⁻³
volume	412.1	Å³ per cell
energy of formation from the pure elements	-0.464	eV/atom


(14)
A relaxed LaY4Pd4 crystal. Source: Alexandria, functional PBE-GGA.

Lattice parameters (Å, degrees): 9.1131 9.1131 5.8249 90.00 90.00 90.00
With the nearest neighbours (Å) after each atom.
Space group P4_2/n (No. 86, origin choice 2)
Inequivalent atoms, fractional coordinates:
La  0.2500  0.2500  0.2500  4 Pd 2.91
Y  0.0762  0.6559  0.1648  5 Pd 2.83-2.97
Pd  0.0363  0.6215  0.6612  5 Y 2.83-2.97, 1 La 2.91, 1 Pd 2.98

## Properties
E_tot	-6.399	eV per atom
calculated density	6.32	g cm⁻³
volume	483.7	Å³ per cell
energy of formation from the pure elements	-0.670	eV/atom


(15)
A relaxed LaY6Pd3 crystal. Source: Alexandria, functional PBE-GGA.

Lattice parameters (Å, degrees): 11.5096 13.2611 7.3032 90.00 90.00 90.00
With the nearest neighbours (Å) after each atom.
Space group Cmc2_1 (No. 36)
Inequivalent atoms, fractional coordinates:
La  0.0000  0.1828  0.0000  1 Pd 2.85
Y  0.0000  0.2671  0.5248  3 Pd 2.79-2.80
Y  0.0000  0.4700  0.8766  4 Pd 3.16-3.17
Y  0.1727  0.0415  0.3747  4 Pd 2.77-2.94
Y  0.2253  0.3088  0.2217  2 Pd 2.95-3.08
Pd  0.0000  0.0715  0.6665  5 Y 2.79-2.94, 1 La 2.85
Pd  0.1869  0.3977  0.5871  5 Y 2.77-3.08

## Properties
E_tot	-6.427	eV per atom
calculated density	5.91	g cm⁻³
volume	1114.7	Å³ per cell
energy of formation from the pure elements	-0.498	eV/atom


(16)
A relaxed LaY3Pd crystal. Source: Alexandria, functional PBE-GGA.

Lattice parameters (Å, degrees): 5.4897 5.4897 5.4897 90.00 90.00 90.00
With the nearest neighbours (Å) after each atom.
Space group Pm-3m (No. 221)
Inequivalent atoms, fractional coordinates:
La  0.0000  0.0000  0.0000  6 Y 2.74
Y  0.0000  0.0000  0.5000  2 La 2.74
Pd  0.5000  0.5000  0.5000  12 Y 3.88

## Properties
E_tot	-4.959	eV per atom
calculated density	5.14	g cm⁻³
volume	165.4	Å³ per cell
energy of formation from the pure elements	0.943	eV/atom


(17)
A relaxed La2Y3Pd2 crystal. Source: Alexandria, functional PBE-GGA.

Lattice parameters (Å, degrees): 12.7551 3.7600 9.3297 90.00 117.15 90.00
With the nearest neighbours (Å) after each atom.
Space group C2/m (No. 12)
Inequivalent atoms, fractional coordinates:
La  0.1602  0.0000  0.3154  2 Pd 3.12
Y  0.0000  0.5000  0.5000  4 Pd 2.95
Y  0.1149  0.5000  0.9376  3 Pd 2.91-3.03
Pd  0.1665  0.0000  0.7404  5 Y 2.91-3.03, 2 La 3.12

## Properties
E_tot	-6.172	eV per atom
calculated density	6.32	g cm⁻³
volume	398.2	Å³ per cell
energy of formation from the pure elements	-0.510	eV/atom


(18)
A relaxed LaY2Pd2 crystal. Source: Alexandria, functional PBE-GGA.

Lattice parameters (Å, degrees): 8.5542 8.5542 3.3108 90.00 90.00 90.00
With the nearest neighbours (Å) after each atom.
Space group P4/mbm (No. 127)
Inequivalent atoms, fractional coordinates:
La  0.0000  0.0000  0.0000  2 La 3.31, 4 Y 3.31, 8 Pd 3.62
Y  0.1379  0.3621  0.0000  6 Pd 2.98-3.03, 2 Y 3.31, 2 La 3.31
Pd  0.1578  0.6578  0.5000  6 Y 2.98-3.03, 2 Pd 3.31

## Properties
E_tot	-6.171	eV per atom
calculated density	7.26	g cm⁻³
volume	242.3	Å³ per cell
energy of formation from the pure elements	-0.523	eV/atom


(19)
A relaxed LaY3Pd2 crystal. Source: Alexandria, functional PBE-GGA.

Lattice parameters (Å, degrees): 4.9737 8.9068 7.2049 90.00 90.00 90.00
With the nearest neighbours (Å) after each atom.
Space group Pmc2_1 (No. 26)
Inequivalent atoms, fractional coordinates:
La  0.0000  0.0810  0.0000  3 Pd 2.87-3.21
Y  0.0000  0.3375  0.6276  4 Pd 2.88-3.04
Y  0.5000  0.1737  0.3442  4 Pd 2.84-3.10
Y  0.5000  0.4262  0.9682  3 Pd 2.86-3.20
Pd  0.0000  0.3452  0.2281  1 La 2.87, 6 Y 2.88-3.20
Pd  0.5000  0.1639  0.7386  5 Y 2.84-3.10

## Properties
E_tot	-6.375	eV per atom
calculated density	6.44	g cm⁻³
volume	319.2	Å³ per cell
energy of formation from the pure elements	-0.591	eV/atom


(20)
A relaxed LaYPd4 crystal. Source: Alexandria, functional PBE-GGA.

Lattice parameters (Å, degrees): 3.9714 3.9714 8.6927 90.00 90.00 90.00
With the nearest neighbours (Å) after each atom.
Space group P4/mmm (No. 123)
Inequivalent atoms, fractional coordinates:
La  0.0000  0.0000  0.0000  8 Pd 2.98
Y  0.5000  0.5000  0.5000  8 Pd 2.91
Pd  0.0000  0.5000  0.2549  4 Pd 2.81, 2 Y 2.91, 2 La 2.98

## Properties
E_tot	-5.952	eV per atom
calculated density	7.92	g cm⁻³
volume	137.1	Å³ per cell
energy of formation from the pure elements	-0.592	eV/atom